Entry from Alexandria via LeMat-Bulk: a relaxed LaOsPb crystal (PBE).

Computed properties:
total moment = 0.0 Bohr magnetons per cell
energy of formation from the pure elements = 0.983 eV/atom
density = 10.18 g cm⁻³
total DFT energy (no corrections) = -5.64 eV/atom

Lattice parameters (Å, degrees): 4.9828 4.9828 4.9828 60.00 60.00 60.00
Closest atoms and distances in Å follow each position.
Fractional coordinates of all 3 atoms:
La (0.0000, 0.0000, 0.0000)  4 Os 3.05, 4 Pb 3.05
Os (0.7500, 0.7500, 0.7500)  4 La 3.05
Pb (0.2500, 0.2500, 0.2500)  4 La 3.05